PBE Sm2Ta, optimized geometry; space-group type = Fd-3m (227); E_form = 313 kJ/mol of formula units; energy = -6.0111 eV/atom
1.0
0.000 4.296 4.296
4.296 0.000 4.296
4.296 4.296 0.000
Sm Ta
4 2
Direct
0.000 0.000 0.000
0.000 0.000 0.500
0.000 0.500 0.000
0.500 0.000 0.000
0.375 0.375 0.375
0.625 0.625 0.625